# 1
A geometry-optimized HfInReF2 structure, computed with PBE.

a b c (Å): 4.172 5.309 4.172
angles (deg): 90.00 90.00 90.00
Sites, in units of the cell vectors:
1 F 0.500 0.000 0.000
2 F 0.000 0.000 0.500
3 Hf 0.000 0.500 0.000
4 Re 0.000 0.000 0.000
5 In 0.500 0.500 0.500

## Properties
* space-group type: No. 123
* formation energy from raw total energies: -0.338 eV per atom

# 2
A geometry-optimized Li2PRh structure, computed with PBE.

a b c (Å): 3.513 3.513 9.240
angles (deg): 79.04 79.04 90.00
Sites, in units of the cell vectors:
1 Rh 0.000 0.000 0.000
2 Rh 0.750 0.250 0.500
3 Li 0.375 0.387 0.750
4 Li 0.137 0.625 0.250
5 Li 0.613 0.125 0.250
6 Li 0.875 0.863 0.750
7 P 0.500 0.500 0.000
8 P 0.250 0.750 0.500

## Properties
* space-group type: No. 122
* uncorrected energy: -4.425 eV per atom

# 3
A geometry-optimized AcTmNiSn structure, computed with PBE.

a b c (Å): 5.327 5.327 5.327
angles (deg): 60.00 60.00 60.00
Sites, in units of the cell vectors:
1 Tm 0.500 0.500 0.500
2 Sn 0.750 0.750 0.750
3 Ac 0.000 0.000 0.000
4 Ni 0.250 0.250 0.250

## Properties
* space-group type: No. 216
* uncorrected energy: -4.889 eV per atom

# 4
A geometry-optimized CeNdEu2 structure, computed with PBE.

a b c (Å): 4.032 6.051 6.051
angles (deg): 90.00 90.00 90.00
Sites, in units of the cell vectors:
1 Nd 0.500 0.500 0.500
2 Eu 0.000 0.000 0.500
3 Eu 0.000 0.500 0.000
4 Ce 0.500 0.000 0.000

## Properties
* energy above the lowest structure with this stoichiometry: 0.07 eV per formula unit
* space-group type: No. 123

# 5
A geometry-optimized GePAuN structure, computed with PBE.

a b c (Å): 2.747 6.739 3.680
angles (deg): 90.00 90.83 90.00
Sites, in units of the cell vectors:
1 P 0.000 0.470 0.500
2 N 0.500 0.611 0.500
3 Ge 0.000 0.203 0.000
4 Au 0.500 0.959 0.500

## Properties
* energy above the lowest structure with this stoichiometry: 0.31 eV per formula unit
* space-group type: No. 3
* formation energy from raw total energies: 0.161 eV per atom

# 6
A geometry-optimized Dy2Y3Ho3 structure, computed with PBE.

a b c (Å): 5.015 5.015 10.646
angles (deg): 103.60 103.62 90.00
Sites, in units of the cell vectors:
1 Dy 0.750 0.250 0.500
2 Dy 0.250 0.750 0.500
3 Ho 0.000 0.500 0.000
4 Ho 0.875 0.875 0.749
5 Ho 0.125 0.125 0.251
6 Y 0.625 0.625 0.250
7 Y 0.500 0.000 0.000
8 Y 0.375 0.375 0.750

## Properties
* energy above the lowest structure with this stoichiometry: 0.00 eV per formula unit
* space-group type: No. 71

Please write out number 2 again, unchanged.
A geometry-optimized Li2PRh structure, computed with PBE.

a b c (Å): 3.513 3.513 9.240
angles (deg): 79.04 79.04 90.00
Sites, in units of the cell vectors:
1 Rh 0.000 0.000 0.000
2 Rh 0.750 0.250 0.500
3 Li 0.375 0.387 0.750
4 Li 0.137 0.625 0.250
5 Li 0.613 0.125 0.250
6 Li 0.875 0.863 0.750
7 P 0.500 0.500 0.000
8 P 0.250 0.750 0.500

## Properties
* space-group type: No. 122
* uncorrected energy: -4.425 eV per atom